Density functional theory data (PBE) for a geometry-optimized LaDy2Hg2 structure.

It has space group P-3m1 (No. 164), with a = 5.2945 Å, b = 5.2945 Å, c = 6.3801 Å, α = 90.00°, β = 90.00° and γ = 120.00°. The distinct sites, in fractional coordinates, are La at (0.0000, 0.0000, 0.0000), Dy at (0.3333, 0.6667, 0.6579) and Hg at (0.3333, 0.6667, 0.1832).

The value obtained for the energy of formation from the pure elements is -0.23 eV per atom. The value obtained for the energy is -3.1758 eV/atom. The total magnetic moment is 0.5 Bohr magnetons per cell.